The following is a DFT calculation (GGA+U) of crystalline Nd2MnO6 at its relaxed geometry.

Geometry as POSCAR:
```
Nd2MnO6
1.0
-2.088 2.707 5.286
2.088 -2.707 5.286
2.088 2.707 -5.286
Nd Mn O
2 1 6
Direct
0.178 0.178 0.000
0.822 0.822 0.000
0.500 0.500 0.000
0.109 0.355 0.754
0.369 0.000 0.369
0.399 0.645 0.754
0.601 0.355 0.246
0.631 0.000 0.631
0.891 0.645 0.246
```

Results
- SG = No. 71
- E_tot (eV per atom) = -7.2812


The following is a DFT calculation (GGA+U) of crystalline Nd3MnO at its relaxed geometry.

Geometry as POSCAR:
```
Nd3MnO
1.0
4.997 0.000 0.000
0.000 4.997 0.000
0.000 0.000 4.997
Nd Mn O
3 1 1
Direct
0.000 0.000 0.500
0.000 0.500 0.000
0.500 0.000 0.000
0.500 0.500 0.500
0.000 0.000 0.000
```

Results
- SG = No. 221
- E_tot (eV per atom) = -6.3668


The following is a DFT calculation (GGA+U) of crystalline NdMn2O4 at its relaxed geometry.

Geometry as POSCAR:
```
NdMn2O4
1.0
-3.578 3.578 3.539
3.578 -3.578 3.539
3.578 3.578 -3.539
Nd Mn O
2 4 8
Direct
0.375 0.625 0.750
0.625 0.375 0.250
0.000 0.000 0.000
0.000 0.000 0.500
0.000 0.500 0.000
0.500 0.000 0.500
0.158 0.719 0.438
0.219 0.281 0.938
0.281 0.219 0.438
0.281 0.842 0.062
0.719 0.158 0.938
0.719 0.781 0.562
0.781 0.719 0.062
0.842 0.281 0.562
```

Results
- SG = No. 141
- E_tot (eV per atom) = -7.8012


The following is a DFT calculation (GGA+U) of crystalline NdMn2O4 at its relaxed geometry.

Geometry as POSCAR:
```
NdMn2O4
1.0
10.443 0.000 0.000
0.000 3.305 0.000
0.000 0.000 10.144
Nd Mn O
4 8 16
Direct
0.141 0.192 0.000
0.359 0.192 0.500
0.641 0.808 0.000
0.859 0.808 0.500
0.119 0.682 0.314
0.119 0.719 0.681
0.381 0.682 0.814
0.381 0.719 0.181
0.619 0.281 0.681
0.619 0.318 0.314
0.881 0.281 0.181
0.881 0.318 0.814
0.022 0.676 0.131
0.042 0.718 0.855
0.195 0.700 0.504
0.248 0.149 0.741
0.252 0.149 0.241
0.305 0.700 0.004
0.458 0.718 0.355
0.478 0.676 0.631
0.522 0.324 0.131
0.542 0.282 0.855
0.695 0.300 0.504
0.748 0.851 0.741
0.752 0.851 0.241
0.805 0.300 0.004
0.958 0.282 0.355
0.978 0.324 0.631
```

Results
- SG = No. 29
- E_tot (eV per atom) = -7.8725


The following is a DFT calculation (GGA+U) of crystalline NdMn7O12 at its relaxed geometry.

Geometry as POSCAR:
```
NdMn7O12
1.0
-3.785 3.785 3.785
3.785 -3.785 3.785
3.785 3.785 -3.785
Nd Mn O
1 7 12
Direct
0.000 0.000 0.000
0.000 0.000 0.500
0.000 0.500 0.000
0.000 0.500 0.500
0.500 0.000 0.000
0.500 0.000 0.500
0.500 0.500 0.000
0.500 0.500 0.500
0.132 0.306 0.825
0.175 0.481 0.306
0.175 0.868 0.694
0.306 0.175 0.481
0.306 0.825 0.132
0.481 0.306 0.175
0.519 0.694 0.825
0.694 0.175 0.868
0.694 0.825 0.519
0.825 0.132 0.306
0.825 0.519 0.694
0.868 0.694 0.175
```

Results
- SG = No. 204
- E_tot (eV per atom) = -7.6473


The following is a DFT calculation (GGA+U) of crystalline Nd3Mn5O12 at its relaxed geometry.

Geometry as POSCAR:
```
Nd3Mn5O12
1.0
-6.398 6.398 6.398
6.398 -6.398 6.398
6.398 6.398 -6.398
Nd Mn O
12 20 48
Direct
0.125 0.250 0.375
0.125 0.375 0.750
0.250 0.375 0.125
0.250 0.875 0.625
0.375 0.125 0.250
0.375 0.750 0.125
0.625 0.250 0.875
0.625 0.875 0.750
0.750 0.125 0.375
0.750 0.625 0.875
0.875 0.625 0.250
0.875 0.750 0.625
0.000 0.000 0.000
0.000 0.000 0.500
0.000 0.500 0.000
0.000 0.500 0.500
0.125 0.750 0.875
0.125 0.875 0.250
0.250 0.125 0.875
0.250 0.625 0.375
0.375 0.250 0.625
0.375 0.625 0.750
0.500 0.000 0.000
0.500 0.000 0.500
0.500 0.500 0.000
0.500 0.500 0.500
0.625 0.375 0.250
0.625 0.750 0.375
0.750 0.375 0.625
0.750 0.875 0.125
0.875 0.125 0.750
0.875 0.250 0.125
0.027 0.198 0.121
0.027 0.329 0.906
0.077 0.698 0.671
0.077 0.879 0.406
0.094 0.621 0.423
0.094 0.973 0.671
0.121 0.027 0.198
0.121 0.594 0.923
0.171 0.198 0.577
0.171 0.473 0.594
0.198 0.121 0.027
0.198 0.577 0.171
0.302 0.329 0.923
0.302 0.473 0.379
0.329 0.906 0.027
0.329 0.923 0.302
0.379 0.302 0.473
0.379 0.577 0.906
0.406 0.077 0.879
0.406 0.829 0.527
0.423 0.094 0.621
0.423 0.829 0.802
0.473 0.379 0.302
0.473 0.594 0.171
0.527 0.406 0.829
0.527 0.621 0.698
0.577 0.171 0.198
0.577 0.906 0.379
0.594 0.171 0.473
0.594 0.923 0.121
0.621 0.423 0.094
0.621 0.698 0.527
0.671 0.077 0.698
0.671 0.094 0.973
0.698 0.527 0.621
0.698 0.671 0.077
0.802 0.423 0.829
0.802 0.879 0.973
0.829 0.527 0.406
0.829 0.802 0.423
0.879 0.406 0.077
0.879 0.973 0.802
0.906 0.027 0.329
0.906 0.379 0.577
0.923 0.121 0.594
0.923 0.302 0.329
0.973 0.671 0.094
0.973 0.802 0.879
```

Results
- SG = No. 230
- E_tot (eV per atom) = -7.7822


The following is a DFT calculation (GGA+U) of crystalline NdMn2PO8 at its relaxed geometry.

Geometry as POSCAR:
```
NdMn2PO8
1.0
4.874 0.000 0.000
-2.437 4.221 0.000
0.000 0.000 6.356
Nd Mn P O
1 2 1 8
Direct
0.000 0.000 0.000
0.333 0.667 0.365
0.667 0.333 0.635
0.000 0.000 0.500
0.161 0.321 0.655
0.161 0.839 0.655
0.321 0.161 0.345
0.333 0.667 0.081
0.667 0.333 0.919
0.679 0.839 0.655
0.839 0.161 0.345
0.839 0.679 0.345
```

Results
- SG = No. 164
- E_tot (eV per atom) = -6.9296


The following is a DFT calculation (GGA+U) of crystalline NdPaMn2O8 at its relaxed geometry.

Geometry as POSCAR:
```
NdPaMn2O8
1.0
-2.602 2.602 5.737
2.602 -2.602 5.737
2.602 2.602 -5.737
Nd Pa Mn O
1 1 2 8
Direct
0.000 0.000 0.000
0.250 0.750 0.500
0.500 0.500 0.000
0.750 0.250 0.500
0.268 0.662 0.086
0.338 0.424 0.606
0.392 0.004 0.034
0.576 0.181 0.914
0.642 0.608 0.612
0.819 0.732 0.394
0.970 0.358 0.966
0.996 0.030 0.388
```

Results
- SG = No. 82
- E_tot (eV per atom) = -8.0415